[1]
# CsSc2VCl8 (PBE, optimized geometry)
# N(E_F) ... 6.18 states/eV/cell
data_CsSc2VCl8
_symmetry_space_group_name_H-M 'P 1'
_symmetry_Int_Tables_number 1
_symmetry_space_group_name_Hall 'P 1'
_cell_length_a 6.617
_cell_length_b 6.617
_cell_length_c 10.425
_cell_angle_alpha 71.50
_cell_angle_beta 71.50
_cell_angle_gamma 60.00
loop_
_atom_site_label
_atom_site_type_symbol
_atom_site_fract_x
_atom_site_fract_y
_atom_site_fract_z
Cs1 Cs 0.500 0.500 0.500
Sc1 Sc 0.264 0.264 0.208
Sc2 Sc 0.736 0.736 0.792
V1 V 0.000 0.000 0.000
Cl1 Cl 0.183 0.183 0.451
Cl2 Cl 0.645 0.268 0.152
Cl3 Cl 0.817 0.817 0.549
Cl4 Cl 0.935 0.645 0.152
Cl5 Cl 0.065 0.355 0.848
Cl6 Cl 0.268 0.935 0.152
Cl7 Cl 0.732 0.065 0.848
Cl8 Cl 0.355 0.732 0.848

[2]
# CsScZnCl6 (PBE, optimized geometry)
# N(E_F) ... 0.00 states/eV/cell
data_CsScZnCl6
_symmetry_space_group_name_H-M 'P 1'
_symmetry_Int_Tables_number 1
_symmetry_space_group_name_Hall 'P 1'
_cell_length_a 6.559
_cell_length_b 6.559
_cell_length_c 7.826
_cell_angle_alpha 90.00
_cell_angle_beta 90.00
_cell_angle_gamma 60.00
loop_
_atom_site_label
_atom_site_type_symbol
_atom_site_fract_x
_atom_site_fract_y
_atom_site_fract_z
Cs1 Cs 0.000 0.000 0.000
Sc1 Sc 0.667 0.667 0.500
Zn1 Zn 0.333 0.333 0.500
Cl1 Cl 0.002 0.379 0.316
Cl2 Cl 0.379 0.002 0.684
Cl3 Cl 0.620 0.379 0.684
Cl4 Cl 0.002 0.620 0.684
Cl5 Cl 0.379 0.620 0.316
Cl6 Cl 0.620 0.002 0.316

[3]
# CsSe2Cl2 (PBE, optimized geometry)
# Polymorph energy (0 for the lowest one) ... 0.65 eV per formula unit
# N(E_F) ... 0.00 states/eV/cell
data_CsSe2Cl2
_symmetry_space_group_name_H-M 'P 1'
_symmetry_Int_Tables_number 1
_symmetry_space_group_name_Hall 'P 1'
_cell_length_a 9.064
_cell_length_b 9.064
_cell_length_c 4.456
_cell_angle_alpha 90.00
_cell_angle_beta 90.00
_cell_angle_gamma 90.00
loop_
_atom_site_label
_atom_site_type_symbol
_atom_site_fract_x
_atom_site_fract_y
_atom_site_fract_z
Cs1 Cs 0.000 0.000 0.000
Cs2 Cs 0.500 0.500 0.000
Se1 Se 0.416 0.916 0.000
Se2 Se 0.916 0.584 0.000
Se3 Se 0.584 0.084 0.000
Se4 Se 0.084 0.416 0.000
Cl1 Cl 0.263 0.763 0.500
Cl2 Cl 0.763 0.737 0.500
Cl3 Cl 0.737 0.237 0.500
Cl4 Cl 0.237 0.263 0.500

[4]
# Cs12Se3Cl5 (PBE, optimized geometry)
# N(E_F) ... 5.41 states/eV/cell
data_Cs12Se3Cl5
_symmetry_space_group_name_H-M 'P 1'
_symmetry_Int_Tables_number 1
_symmetry_space_group_name_Hall 'P 1'
_cell_length_a 17.918
_cell_length_b 17.918
_cell_length_c 17.918
_cell_angle_alpha 109.47
_cell_angle_beta 109.47
_cell_angle_gamma 109.47
loop_
_atom_site_label
_atom_site_type_symbol
_atom_site_fract_x
_atom_site_fract_y
_atom_site_fract_z
Se1 Se 0.750 0.375 0.125
Se2 Se 0.875 0.750 0.125
Se3 Se 0.375 0.750 0.625
Se4 Se 0.250 0.125 0.375
Se5 Se 0.875 0.125 0.250
Se6 Se 0.375 0.625 0.250
Se7 Se 0.625 0.375 0.750
Se8 Se 0.125 0.875 0.750
Se9 Se 0.750 0.875 0.625
Se10 Se 0.625 0.250 0.375
Se11 Se 0.125 0.250 0.875
Se12 Se 0.250 0.625 0.875
Cl1 Cl 0.125 0.375 0.250
Cl2 Cl 0.000 0.500 0.000
Cl3 Cl 0.000 0.000 0.000
Cl4 Cl 0.375 0.250 0.125
Cl5 Cl 0.500 0.000 0.500
Cl6 Cl 0.500 0.500 0.000
Cl7 Cl 0.125 0.750 0.375
Cl8 Cl 0.750 0.125 0.875
Cl9 Cl 0.750 0.625 0.375
Cl10 Cl 0.375 0.125 0.750
Cl11 Cl 0.625 0.875 0.250
Cl12 Cl 0.500 0.500 0.500
Cl13 Cl 0.500 0.000 0.000
Cl14 Cl 0.000 0.000 0.500
Cl15 Cl 0.250 0.375 0.625
Cl16 Cl 0.250 0.875 0.125
Cl17 Cl 0.000 0.500 0.500
Cl18 Cl 0.875 0.250 0.625
Cl19 Cl 0.625 0.750 0.875
Cl20 Cl 0.875 0.625 0.750
Cs1 Cs 0.723 0.137 0.051
Cs2 Cs 0.327 0.551 0.413
Cs3 Cs 0.949 0.363 0.277
Cs4 Cs 0.551 0.223 0.137
Cs5 Cs 0.586 0.723 0.673
Cs6 Cs 0.949 0.587 0.173
Cs7 Cs 0.327 0.777 0.414
Cs8 Cs 0.087 0.914 0.137
Cs9 Cs 0.587 0.949 0.673
Cs10 Cs 0.723 0.586 0.173
Cs11 Cs 0.777 0.449 0.363
Cs12 Cs 0.827 0.913 0.051
Cs13 Cs 0.137 0.723 0.551
Cs14 Cs 0.363 0.413 0.086
Cs15 Cs 0.086 0.913 0.363
Cs16 Cs 0.414 0.137 0.587
Cs17 Cs 0.086 0.173 0.223
Cs18 Cs 0.449 0.673 0.087
Cs19 Cs 0.827 0.914 0.277
Cs20 Cs 0.137 0.414 0.087
Cs21 Cs 0.363 0.949 0.777
Cs22 Cs 0.587 0.637 0.414
Cs23 Cs 0.913 0.827 0.551
Cs24 Cs 0.777 0.327 0.914
Cs25 Cs 0.413 0.363 0.586
Cs26 Cs 0.087 0.173 0.449
Cs27 Cs 0.223 0.673 0.086
Cs28 Cs 0.173 0.086 0.723
Cs29 Cs 0.637 0.051 0.223
Cs30 Cs 0.863 0.586 0.913
Cs31 Cs 0.551 0.327 0.913
Cs32 Cs 0.586 0.863 0.413
Cs33 Cs 0.914 0.827 0.777
Cs34 Cs 0.914 0.087 0.637
Cs35 Cs 0.863 0.277 0.449
Cs36 Cs 0.173 0.087 0.949
Cs37 Cs 0.637 0.587 0.914
Cs38 Cs 0.413 0.051 0.327
Cs39 Cs 0.277 0.414 0.827
Cs40 Cs 0.223 0.551 0.637
Cs41 Cs 0.913 0.086 0.863
Cs42 Cs 0.673 0.223 0.586
Cs43 Cs 0.449 0.777 0.863
Cs44 Cs 0.051 0.413 0.827
Cs45 Cs 0.414 0.277 0.327
Cs46 Cs 0.051 0.637 0.723
Cs47 Cs 0.673 0.449 0.587
Cs48 Cs 0.277 0.863 0.949

[5]
# CsSe3Cl (PBE, optimized geometry)
# Polymorph energy (0 for the lowest one) ... 3.76 eV per formula unit
# N(E_F) ... 8.28 states/eV/cell
data_CsSe3Cl
_symmetry_space_group_name_H-M 'P 1'
_symmetry_Int_Tables_number 1
_symmetry_space_group_name_Hall 'P 1'
_cell_length_a 6.776
_cell_length_b 6.776
_cell_length_c 6.776
_cell_angle_alpha 90.00
_cell_angle_beta 90.00
_cell_angle_gamma 90.00
loop_
_atom_site_label
_atom_site_type_symbol
_atom_site_fract_x
_atom_site_fract_y
_atom_site_fract_z
Cs1 Cs 0.000 0.000 0.000
Se1 Se 0.000 0.500 0.000
Se2 Se 0.000 0.000 0.500
Se3 Se 0.500 0.000 0.000
Cl1 Cl 0.500 0.500 0.500

[6]
# CsSe2Cl (PBE, optimized geometry)
# Polymorph energy (0 for the lowest one) ... 0.00 eV per formula unit
# N(E_F) ... 5.49 states/eV/cell
data_CsSe2Cl
_symmetry_space_group_name_H-M 'P 1'
_symmetry_Int_Tables_number 1
_symmetry_space_group_name_Hall 'P 1'
_cell_length_a 4.803
_cell_length_b 4.803
_cell_length_c 16.335
_cell_angle_alpha 81.55
_cell_angle_beta 81.55
_cell_angle_gamma 90.00
loop_
_atom_site_label
_atom_site_type_symbol
_atom_site_fract_x
_atom_site_fract_y
_atom_site_fract_z
Cs1 Cs 0.000 0.000 0.000
Cs2 Cs 0.750 0.250 0.500
Se1 Se 0.375 0.125 0.250
Se2 Se 0.375 0.625 0.250
Se3 Se 0.375 0.625 0.750
Se4 Se 0.875 0.625 0.750
Cl1 Cl 0.500 0.500 0.000
Cl2 Cl 0.250 0.750 0.500

[7]
# Cs12Se5Cl3 (PBE, optimized geometry)
# N(E_F) ... 118.58 states/eV/cell
data_Cs12Se5Cl3
_symmetry_space_group_name_H-M 'P 1'
_symmetry_Int_Tables_number 1
_symmetry_space_group_name_Hall 'P 1'
_cell_length_a 18.194
_cell_length_b 18.194
_cell_length_c 18.194
_cell_angle_alpha 109.47
_cell_angle_beta 109.47
_cell_angle_gamma 109.47
loop_
_atom_site_label
_atom_site_type_symbol
_atom_site_fract_x
_atom_site_fract_y
_atom_site_fract_z
Cl1 Cl 0.750 0.375 0.125
Cl2 Cl 0.875 0.750 0.125
Cl3 Cl 0.375 0.750 0.625
Cl4 Cl 0.250 0.125 0.375
Cl5 Cl 0.875 0.125 0.250
Cl6 Cl 0.375 0.625 0.250
Cl7 Cl 0.625 0.375 0.750
Cl8 Cl 0.125 0.875 0.750
Cl9 Cl 0.750 0.875 0.625
Cl10 Cl 0.625 0.250 0.375
Cl11 Cl 0.125 0.250 0.875
Cl12 Cl 0.250 0.625 0.875
Se1 Se 0.125 0.375 0.250
Se2 Se 0.000 0.500 0.000
Se3 Se 0.000 0.000 0.000
Se4 Se 0.375 0.250 0.125
Se5 Se 0.500 0.000 0.500
Se6 Se 0.500 0.500 0.000
Se7 Se 0.125 0.750 0.375
Se8 Se 0.750 0.125 0.875
Se9 Se 0.750 0.625 0.375
Se10 Se 0.375 0.125 0.750
Se11 Se 0.625 0.875 0.250
Se12 Se 0.500 0.500 0.500
Se13 Se 0.500 0.000 0.000
Se14 Se 0.000 0.000 0.500
Se15 Se 0.250 0.375 0.625
Se16 Se 0.250 0.875 0.125
Se17 Se 0.000 0.500 0.500
Se18 Se 0.875 0.250 0.625
Se19 Se 0.625 0.750 0.875
Se20 Se 0.875 0.625 0.750
Cs1 Cs 0.720 0.126 0.046
Cs2 Cs 0.326 0.546 0.420
Cs3 Cs 0.954 0.374 0.280
Cs4 Cs 0.546 0.220 0.126
Cs5 Cs 0.593 0.720 0.674
Cs6 Cs 0.954 0.580 0.174
Cs7 Cs 0.326 0.780 0.407
Cs8 Cs 0.080 0.907 0.126
Cs9 Cs 0.580 0.954 0.674
Cs10 Cs 0.720 0.593 0.174
Cs11 Cs 0.780 0.454 0.374
Cs12 Cs 0.826 0.920 0.046
Cs13 Cs 0.126 0.720 0.546
Cs14 Cs 0.374 0.420 0.093
Cs15 Cs 0.093 0.920 0.374
Cs16 Cs 0.407 0.126 0.580
Cs17 Cs 0.093 0.174 0.220
Cs18 Cs 0.454 0.674 0.080
Cs19 Cs 0.826 0.907 0.280
Cs20 Cs 0.126 0.407 0.080
Cs21 Cs 0.374 0.954 0.780
Cs22 Cs 0.580 0.626 0.407
Cs23 Cs 0.920 0.826 0.546
Cs24 Cs 0.780 0.326 0.907
Cs25 Cs 0.420 0.374 0.593
Cs26 Cs 0.080 0.174 0.454
Cs27 Cs 0.220 0.674 0.093
Cs28 Cs 0.174 0.093 0.720
Cs29 Cs 0.626 0.046 0.220
Cs30 Cs 0.874 0.593 0.920
Cs31 Cs 0.546 0.326 0.920
Cs32 Cs 0.593 0.874 0.420
Cs33 Cs 0.907 0.826 0.780
Cs34 Cs 0.907 0.080 0.626
Cs35 Cs 0.874 0.280 0.454
Cs36 Cs 0.174 0.080 0.954
Cs37 Cs 0.626 0.580 0.907
Cs38 Cs 0.420 0.046 0.326
Cs39 Cs 0.280 0.407 0.826
Cs40 Cs 0.220 0.546 0.626
Cs41 Cs 0.920 0.093 0.874
Cs42 Cs 0.674 0.220 0.593
Cs43 Cs 0.454 0.780 0.874
Cs44 Cs 0.046 0.420 0.826
Cs45 Cs 0.407 0.280 0.326
Cs46 Cs 0.046 0.626 0.720
Cs47 Cs 0.674 0.454 0.580
Cs48 Cs 0.280 0.874 0.954

[8]
# CsSeCl2 (PBE, optimized geometry)
# Polymorph energy (0 for the lowest one) ... 0.59 eV per formula unit
# N(E_F) ... 2.90 states/eV/cell
data_CsSeCl2
_symmetry_space_group_name_H-M 'P 1'
_symmetry_Int_Tables_number 1
_symmetry_space_group_name_Hall 'P 1'
_cell_length_a 6.083
_cell_length_b 6.083
_cell_length_c 9.563
_cell_angle_alpha 71.45
_cell_angle_beta 71.45
_cell_angle_gamma 90.00
loop_
_atom_site_label
_atom_site_type_symbol
_atom_site_fract_x
_atom_site_fract_y
_atom_site_fract_z
Cs1 Cs 0.000 0.000 0.000
Cs2 Cs 0.750 0.250 0.500
Se1 Se 0.500 0.500 0.000
Se2 Se 0.250 0.750 0.500
Cl1 Cl 0.488 0.125 0.250
Cl2 Cl 0.262 0.625 0.250
Cl3 Cl 0.375 0.512 0.750
Cl4 Cl 0.875 0.738 0.750

[9]
# CsSeCl3 (PBE, optimized geometry)
# N(E_F) ... 0.00 states/eV/cell
data_CsSeCl3
_symmetry_space_group_name_H-M 'P 1'
_symmetry_Int_Tables_number 1
_symmetry_space_group_name_Hall 'P 1'
_cell_length_a 8.274
_cell_length_b 7.919
_cell_length_c 8.730
_cell_angle_alpha 58.96
_cell_angle_beta 53.13
_cell_angle_gamma 79.71
loop_
_atom_site_label
_atom_site_type_symbol
_atom_site_fract_x
_atom_site_fract_y
_atom_site_fract_z
Cs1 Cs 0.791 0.481 0.256
Cs2 Cs 0.312 0.018 0.227
Se1 Se 0.047 0.311 0.690
Se2 Se 0.096 0.985 0.963
Cl1 Cl 0.232 0.687 0.116
Cl2 Cl 0.256 0.526 0.662
Cl3 Cl 0.361 0.148 0.522
Cl4 Cl 0.755 0.420 0.887
Cl5 Cl 0.819 0.940 0.305
Cl6 Cl 0.848 0.113 0.690

[10]
# Cs6SeCl4 (PBE, optimized geometry)
# N(E_F) ... 0.00 states/eV/cell
data_Cs6SeCl4
_symmetry_space_group_name_H-M 'P 1'
_symmetry_Int_Tables_number 1
_symmetry_space_group_name_Hall 'P 1'
_cell_length_a 10.204
_cell_length_b 10.204
_cell_length_c 10.204
_cell_angle_alpha 89.53
_cell_angle_beta 89.53
_cell_angle_gamma 90.47
loop_
_atom_site_label
_atom_site_type_symbol
_atom_site_fract_x
_atom_site_fract_y
_atom_site_fract_z
Cs1 Cs 0.684 0.048 0.070
Cs2 Cs 0.070 0.316 0.048
Cs3 Cs 0.570 0.452 0.184
Cs4 Cs 0.952 0.070 0.684
Cs5 Cs 0.548 0.184 0.570
Cs6 Cs 0.184 0.430 0.452
Cs7 Cs 0.816 0.570 0.548
Cs8 Cs 0.452 0.816 0.430
Cs9 Cs 0.048 0.930 0.316
Cs10 Cs 0.430 0.548 0.816
Cs11 Cs 0.930 0.684 0.952
Cs12 Cs 0.316 0.952 0.930
Se1 Se 0.500 0.500 0.500
Se2 Se 0.000 0.000 0.000
Cl1 Cl 0.387 0.113 0.250
Cl2 Cl 0.887 0.250 0.387
Cl3 Cl 0.250 0.613 0.113
Cl4 Cl 0.250 0.250 0.750
Cl5 Cl 0.750 0.750 0.250
Cl6 Cl 0.750 0.387 0.887
Cl7 Cl 0.113 0.750 0.613
Cl8 Cl 0.613 0.887 0.750

[11]
First-principles (PBE) data for crystalline Cs2SeCl5 at its relaxed geometry, as listed in Alexandria.

Cell and atoms, written as CIF:
```
data_Cs2SeCl5
_symmetry_space_group_name_H-M 'P 1'
_symmetry_Int_Tables_number 1
_symmetry_space_group_name_Hall 'P 1'
_cell_length_a 7.589
_cell_length_b 7.589
_cell_length_c 7.461
_cell_angle_alpha 120.57
_cell_angle_beta 120.57
_cell_angle_gamma 90.00
loop_
_atom_site_label
_atom_site_type_symbol
_atom_site_fract_x
_atom_site_fract_y
_atom_site_fract_z
Cs1 Cs 0.254 0.754 0.508
Cs2 Cs 0.754 0.254 0.508
Se1 Se 0.001 0.001 0.002
Cl1 Cl 0.782 0.235 0.016
Cl2 Cl 0.235 0.235 0.016
Cl3 Cl 0.782 0.782 0.016
Cl4 Cl 0.235 0.782 0.016
Cl5 Cl 0.736 0.736 0.471
```

[12]
# CsSeCl5 (PBE, optimized geometry)
# N(E_F) ... 0.00 states/eV/cell
data_CsSeCl5
_symmetry_space_group_name_H-M 'P 1'
_symmetry_Int_Tables_number 1
_symmetry_space_group_name_Hall 'P 1'
_cell_length_a 6.187
_cell_length_b 7.881
_cell_length_c 7.881
_cell_angle_alpha 65.20
_cell_angle_beta 66.89
_cell_angle_gamma 66.89
loop_
_atom_site_label
_atom_site_type_symbol
_atom_site_fract_x
_atom_site_fract_y
_atom_site_fract_z
Cs1 Cs 0.029 0.000 0.000
Se1 Se 0.550 0.500 0.500
Cl1 Cl 0.695 0.299 0.299
Cl2 Cl 0.909 0.500 0.500
Cl3 Cl 0.292 0.701 0.701
Cl4 Cl 0.528 0.215 0.785
Cl5 Cl 0.528 0.785 0.215

Number 1: magnetic moment 4.0 μB per formula unit, ΔE_f (raw) -1.71 eV/atom. Number 2: magnetic moment 0.0 μB per formula unit, ΔE_f (raw) -1.77 eV/atom. Number 3: magnetic moment 1.0 μB per formula unit, ΔE_f (raw) -0.63 eV/atom. Number 4: magnetic moment 0.0 μB per formula unit, ΔE_f (raw) -1.38 eV/atom. Number 5: magnetic moment 6.0 μB per formula unit, ΔE_f (raw) 0.96 eV/atom. Number 6: magnetic moment 0.0 μB per formula unit, ΔE_f (raw) -0.66 eV/atom. Number 7: magnetic moment 1.4 μB per formula unit, ΔE_f (raw) -1.16 eV/atom. Number 8: magnetic moment 0.0 μB per formula unit, ΔE_f (raw) -0.70 eV/atom. Number 9: magnetic moment 0.0 μB per formula unit, ΔE_f (raw) -0.98 eV/atom. Number 10: magnetic moment 0.2 μB per formula unit, ΔE_f (raw) -1.63 eV/atom. Number 11: magnetic moment 1.0 μB per formula unit, ΔE_f (raw) -1.15 eV/atom. Number 12: magnetic moment 0.0 μB per formula unit, ΔE_f (raw) -0.79 eV/atom.